# Hf2BiPt2, relaxed, DFT PBE-GGA
# Formation enthalpy at 0 K (eV per atom): -0.52
# Raw total energy (eV per atom): -7.69
# Energy above the most stable polymorph in this dataset (meV per atom): 280
# Fermi-level density of states (states/eV/cell): 8.86
data_Hf2BiPt2
_symmetry_space_group_name_H-M 'I 4/m m m'
_symmetry_Int_Tables_number 139
_symmetry_space_group_name_Hall '-I 4 2'
_cell_length_a 3.8670
_cell_length_b 3.8670
_cell_length_c 14.6490
_cell_angle_alpha 90.00
_cell_angle_beta 90.00
_cell_angle_gamma 90.00
loop_
_atom_site_label
_atom_site_type_symbol
_atom_site_fract_x
_atom_site_fract_y
_atom_site_fract_z
_atom_site_occupancy
Hf1 Hf 0.0000 0.0000 0.1192 1
Bi1 Bi 0.0000 0.0000 0.5000 1
Pt1 Pt 0.0000 0.5000 0.2500 1

***

# Ba2ZnBiSb, relaxed, DFT PBE-GGA
# Energy relative to the elements, uncorrected (eV/atom): -0.72
# Raw total energy (eV per atom): -3.34
# Fermi-level density of states (states/eV/cell): 0.55
data_Ba2ZnBiSb
_symmetry_space_group_name_H-M 'P 1 21/m 1'
_symmetry_Int_Tables_number 11
_cell_length_a 8.2482
_cell_length_b 4.8566
_cell_length_c 10.3681
_cell_angle_alpha 90.00
_cell_angle_beta 104.64
_cell_angle_gamma 90.00
loop_
_symmetry_equiv_pos_as_xyz
'x,y,z'
'-x,-y,-z'
'-x,y+1/2,-z'
'x,-y+1/2,z'
loop_
_atom_site_label
_atom_site_type_symbol
_atom_site_fract_x
_atom_site_fract_y
_atom_site_fract_z
_atom_site_occupancy
Ba1 Ba 0.2084 0.2500 0.4111 1
Ba2 Ba 0.2448 0.2500 0.9600 1
Zn1 Zn 0.4890 0.7500 0.2695 1
Bi1 Bi 0.3213 0.7500 0.6940 1
Sb1 Sb 0.1686 0.7500 0.1736 1

***

# DyBe17Co, relaxed, DFT PBE-GGA
# Formation enthalpy at 0 K (eV per atom): -0.05
# Raw total energy (eV per atom): -4.00
# Fermi-level density of states (states/eV/cell): 19.30
data_DyBe17Co
_symmetry_space_group_name_H-M 'R 3 m'
_symmetry_Int_Tables_number 160
_symmetry_space_group_name_Hall 'R 3 -2"'
_cell_length_a 7.4850
_cell_length_b 7.4850
_cell_length_c 10.8736
_cell_angle_alpha 90.00
_cell_angle_beta 90.00
_cell_angle_gamma 120.00
loop_
_atom_site_label
_atom_site_type_symbol
_atom_site_fract_x
_atom_site_fract_y
_atom_site_fract_z
_atom_site_occupancy
Dy1 Dy 0.0000 0.0000 0.0000 1
Be1 Be 0.0000 0.0000 0.2498 1
Be2 Be 0.0000 0.0000 0.4435 1
Be3 Be 0.0080 0.5040 0.8412 1
Be4 Be 0.0092 0.5046 0.4970 1
Be5 Be 0.0099 0.2994 0.3436 1
Be6 Be 0.0232 0.5116 0.1944 1
Co1 Co 0.0000 0.0000 0.6551 1

***

# Pr2SmTh3Te6, relaxed, DFT PBE-GGA
# Energy relative to the elements, uncorrected (eV/atom): -1.20
# Raw total energy (eV per atom): -5.82
# Fermi-level density of states (states/eV/cell): 21.29
data_Pr2SmTh3Te6
_symmetry_space_group_name_H-M 'C 1 2/m 1'
_symmetry_Int_Tables_number 12
_cell_length_a 19.9130
_cell_length_b 4.4379
_cell_length_c 9.0668
_cell_angle_alpha 90.00
_cell_angle_beta 107.48
_cell_angle_gamma 90.00
loop_
_symmetry_equiv_pos_as_xyz
'x,y,z'
'-x,-y,-z'
'-x,y,-z'
'x,-y,z'
'x+1/2,y+1/2,z'
'-x+1/2,-y+1/2,-z'
'-x+1/2,y+1/2,-z'
'x+1/2,-y+1/2,z'
loop_
_atom_site_label
_atom_site_type_symbol
_atom_site_fract_x
_atom_site_fract_y
_atom_site_fract_z
_atom_site_occupancy
Pr1 Pr 0.1664 0.0000 0.3329 1
Sm1 Sm 0.0000 0.5000 0.0000 1
Th1 Th 0.0000 0.5000 0.5000 1
Th2 Th 0.1690 0.0000 0.8353 1
Te1 Te 0.0014 0.0000 0.7545 1
Te2 Te 0.1641 0.5000 0.0815 1
Te3 Te 0.1668 0.5000 0.5838 1

***

# TlAgNO2, relaxed, DFT PBE-GGA
# Energy relative to the elements, uncorrected (eV/atom): 0.84
# Raw total energy (eV per atom): -3.86
# Fermi-level density of states (states/eV/cell): 2.97
data_TlAgNO2
_symmetry_space_group_name_H-M 'P 4/m m m'
_symmetry_Int_Tables_number 123
_symmetry_space_group_name_Hall '-P 4 2'
_cell_length_a 4.2370
_cell_length_b 4.2370
_cell_length_c 4.0335
_cell_angle_alpha 90.00
_cell_angle_beta 90.00
_cell_angle_gamma 90.00
loop_
_atom_site_label
_atom_site_type_symbol
_atom_site_fract_x
_atom_site_fract_y
_atom_site_fract_z
_atom_site_occupancy
Tl1 Tl 0.0000 0.0000 0.0000 1
Ag1 Ag 0.5000 0.5000 0.5000 1
N1 N 0.5000 0.5000 0.0000 1
O1 O 0.0000 0.5000 0.5000 1

***

# Li2TlPt2, relaxed, DFT PBE-GGA
# Formation enthalpy at 0 K (eV per atom): -0.36
# Raw total energy (eV per atom): -4.01
# Energy above the most stable polymorph in this dataset (meV per atom): 0
# Fermi-level density of states (states/eV/cell): 3.40
data_Li2TlPt2
_symmetry_space_group_name_H-M 'P 4/m b m'
_symmetry_Int_Tables_number 127
_symmetry_space_group_name_Hall '-P 4 2ab'
_cell_length_a 7.3631
_cell_length_b 7.3631
_cell_length_c 2.9827
_cell_angle_alpha 90.00
_cell_angle_beta 90.00
_cell_angle_gamma 90.00
loop_
_atom_site_label
_atom_site_type_symbol
_atom_site_fract_x
_atom_site_fract_y
_atom_site_fract_z
_atom_site_occupancy
Li1 Li 0.1587 0.3413 0.0000 1
Tl1 Tl 0.0000 0.0000 0.5000 1
Pt1 Pt 0.1343 0.6343 0.5000 1

***

# K2SmGe2O6, relaxed, DFT PBE-GGA
# Energy relative to the elements, uncorrected (eV/atom): -2.01
# Raw total energy (eV per atom): -6.18
# Fermi-level density of states (states/eV/cell): 3.16
data_K2SmGe2O6
_symmetry_space_group_name_H-M 'C 1 2/m 1'
_symmetry_Int_Tables_number 12
_cell_length_a 10.4504
_cell_length_b 6.1318
_cell_length_c 7.0331
_cell_angle_alpha 90.00
_cell_angle_beta 121.54
_cell_angle_gamma 90.00
loop_
_symmetry_equiv_pos_as_xyz
'x,y,z'
'-x,-y,-z'
'-x,y,-z'
'x,-y,z'
'x+1/2,y+1/2,z'
'-x+1/2,-y+1/2,-z'
'-x+1/2,y+1/2,-z'
'x+1/2,-y+1/2,z'
loop_
_atom_site_label
_atom_site_type_symbol
_atom_site_fract_x
_atom_site_fract_y
_atom_site_fract_z
_atom_site_occupancy
K1 K 0.2055 0.0000 0.1692 1
Sm1 Sm 0.0000 0.0000 0.5000 1
Ge1 Ge 0.0484 0.5000 0.2147 1
O1 O 0.0357 0.2603 0.7656 1
O2 O 0.2437 0.5000 0.3587 1

***

# Nd4Tl3Ag, relaxed, DFT PBE-GGA
# Formation enthalpy at 0 K (eV per atom): -0.36
# Raw total energy (eV per atom): -3.98
# Energy above the most stable polymorph in this dataset (meV per atom): 0
# Fermi-level density of states (states/eV/cell): 8.72
data_Nd4Tl3Ag
_symmetry_space_group_name_H-M 'P 4/m m m'
_symmetry_Int_Tables_number 123
_symmetry_space_group_name_Hall '-P 4 2'
_cell_length_a 3.7270
_cell_length_b 3.7270
_cell_length_c 16.6611
_cell_angle_alpha 90.00
_cell_angle_beta 90.00
_cell_angle_gamma 90.00
loop_
_atom_site_label
_atom_site_type_symbol
_atom_site_fract_x
_atom_site_fract_y
_atom_site_fract_z
_atom_site_occupancy
Nd1 Nd 0.0000 0.0000 0.1148 1
Nd2 Nd 0.0000 0.0000 0.3710 1
Tl1 Tl 0.5000 0.5000 0.2409 1
Tl2 Tl 0.5000 0.5000 0.5000 1
Ag1 Ag 0.5000 0.5000 0.0000 1